The following is a meta-GGA SCAN calculation of a PBEsol-optimized structure of Zr2IrCl, from Alexandria via LeMat-Bulk.

For the electronic total energy, the calculation gives -36.04 eV per atom. For the energy relative to the lowest polymorph listed for this composition, the calculation gives 0.0000 eV/atom. Its uncorrected formation energy is -3.69 eV per formula unit. The density of states at the Fermi level is 0.683 states/eV/atom.

The structure belongs to space group P4/mmm (No. 123); the cell edges are 4.903, 4.903 and 3.062 Å and the angles 90.00°, 90.00° and 90.00°. Symmetry generates all atoms from Zr at (0.000, 0.500, 0.000), Ir at (0.000, 0.000, 0.500) and Cl at (0.500, 0.500, 0.000).